Entry 1:
Entry from Alexandria: a relaxed Na4Tl2Sn3 crystal (PBE).

Cell: 5.1190 5.6804 9.8396 Å, 82.63 90.03 63.20°
With the nearest neighbours (Å) after each atom.
Sites, in units of the cell vectors:
Tl: 0.3569 0.2856 0.8132  6 Na 3.20-3.41, 3 Sn 3.21-3.36
Tl: 0.6431 0.7144 0.1868  6 Na 3.20-3.41, 3 Sn 3.21-3.36
Na: 0.0107 0.9785 0.6694  6 Sn 3.27-3.61, 3 Na 3.31-3.53, 3 Tl 3.41-3.59
Na: 0.9893 0.0215 0.3306  6 Sn 3.27-3.61, 3 Na 3.31-3.53, 3 Tl 3.41-3.59
Na: 0.3199 0.3610 0.1302  4 Tl 3.20-3.25, 4 Sn 3.31-3.50, 2 Na 3.52-3.53
Na: 0.6801 0.6390 0.8698  4 Tl 3.20-3.25, 4 Sn 3.31-3.50, 2 Na 3.52-3.53
Sn: 0.6650 0.6700 0.5158  3 Sn 3.13-3.32, 1 Tl 3.21, 5 Na 3.46-3.48
Sn: 0.0000 0.0000 0.0000  8 Na 3.27-3.50, 4 Tl 3.36
Sn: 0.3350 0.3300 0.4842  3 Sn 3.13-3.32, 1 Tl 3.21, 5 Na 3.46-3.48

## Properties
final energy: -23.26 eV/cell
N(E_F): 0.291 states/eV per atom
formation enthalpy at 0 K: -1.24 eV per formula unit

---

Entry 2:
Entry from Alexandria: a relaxed NaTl6Sn12 crystal (PBE).

Cell: 8.3715 8.3715 8.3715 Å, 97.52 97.52 97.52°
With the nearest neighbours (Å) after each atom.
Sites, in units of the cell vectors:
Tl: 0.9113 0.8330 0.5916  8 Sn 3.27-3.65, 1 Na 3.47, 3 Tl 3.61-3.63
Tl: 0.1670 0.4084 0.0887  8 Sn 3.27-3.65, 1 Na 3.47, 3 Tl 3.61-3.63
Tl: 0.5916 0.9113 0.8330  8 Sn 3.27-3.65, 1 Na 3.47, 3 Tl 3.61-3.63
Tl: 0.0887 0.1670 0.4084  8 Sn 3.27-3.65, 1 Na 3.47, 3 Tl 3.61-3.63
Tl: 0.4084 0.0887 0.1670  8 Sn 3.27-3.65, 1 Na 3.47, 3 Tl 3.61-3.63
Tl: 0.8330 0.5916 0.9113  8 Sn 3.27-3.65, 1 Na 3.47, 3 Tl 3.61-3.63
Sn: 0.1282 0.7767 0.2514  4 Sn 3.11-3.36, 1 Na 3.17, 2 Tl 3.28-3.43
Sn: 0.8079 0.4402 0.4785  5 Sn 3.11-3.20, 1 Tl 3.27
Sn: 0.1921 0.5598 0.5215  5 Sn 3.11-3.20, 1 Tl 3.27
Sn: 0.2233 0.7486 0.8718  4 Sn 3.11-3.36, 1 Na 3.17, 2 Tl 3.28-3.43
Sn: 0.2514 0.1282 0.7767  4 Sn 3.11-3.36, 1 Na 3.17, 2 Tl 3.28-3.43
Sn: 0.7767 0.2514 0.1282  4 Sn 3.11-3.36, 1 Na 3.17, 2 Tl 3.28-3.43
Sn: 0.5598 0.5215 0.1921  5 Sn 3.11-3.20, 1 Tl 3.27
Sn: 0.7486 0.8718 0.2233  4 Sn 3.11-3.36, 1 Na 3.17, 2 Tl 3.28-3.43
Sn: 0.8718 0.2233 0.7486  4 Sn 3.11-3.36, 1 Na 3.17, 2 Tl 3.28-3.43
Sn: 0.5215 0.1921 0.5598  5 Sn 3.11-3.20, 1 Tl 3.27
Sn: 0.4402 0.4785 0.8079  5 Sn 3.11-3.20, 1 Tl 3.27
Sn: 0.4785 0.8079 0.4402  5 Sn 3.11-3.20, 1 Tl 3.27
Na: 0.0000 0.0000 0.0000  6 Sn 3.17, 6 Tl 3.47

## Properties
final energy: -62.34 eV/cell
N(E_F): 0.444 states/eV per atom
formation enthalpy at 0 K: 1.21 eV per formula unit

---

Entry 3:
Entry from Alexandria: a relaxed Na3Tl7Sn2 crystal (PBE).

Cell: 16.5982 16.5982 4.8946 Å, 90.00 90.00 162.99°
With the nearest neighbours (Å) after each atom.
Sites, in units of the cell vectors:
Tl: 0.7776 0.2224 0.0000  1 Sn 2.94, 2 Tl 3.05
Tl: 0.4259 0.5741 0.0000  2 Sn 3.12, 2 Na 3.45, 6 Tl 3.46-3.47
Tl: 0.5741 0.4259 0.0000  2 Sn 3.12, 2 Na 3.45, 6 Tl 3.46-3.47
Tl: 0.0745 0.9255 0.5000  2 Sn 3.11, 6 Tl 3.46-3.47, 2 Na 3.47
Tl: 0.9255 0.0745 0.5000  2 Sn 3.11, 6 Tl 3.46-3.47, 2 Na 3.47
Tl: 0.0000 0.0000 0.0000  8 Tl 3.46, 4 Na 3.47
Tl: 0.2224 0.7776 0.0000  1 Sn 2.94, 2 Tl 3.05
Sn: 0.1330 0.8670 0.0000  5 Tl 2.94-3.12
Sn: 0.8670 0.1330 0.0000  5 Tl 2.94-3.12
Na: 0.5000 0.5000 0.5000  12 Tl 3.45-3.47
Na: 0.6597 0.3403 0.5000  4 Sn 3.58, 4 Tl 3.72-3.73
Na: 0.3403 0.6597 0.5000  4 Sn 3.58, 4 Tl 3.72-3.73

## Properties
excess energy over the best structure of this formula in the dataset: 0 meV per atom
final energy: -28.77 eV/cell
N(E_F): 0.267 states/eV per atom
formation enthalpy at 0 K: -0.25 eV per formula unit

---

Entry 4:
Entry from Alexandria: a relaxed Na2Tl6Sn crystal (PBE).

Cell: 3.3897 8.3479 9.9151 Å, 79.09 80.16 78.29°
With the nearest neighbours (Å) after each atom.
Sites, in units of the cell vectors:
Tl: 0.3834 0.6816 0.5515  8 Tl 3.28-3.58, 3 Na 3.39-3.49
Tl: 0.9502 0.3422 0.7574  1 Sn 3.36, 9 Tl 3.39-3.58, 2 Na 3.52
Tl: 0.0498 0.6578 0.2426  1 Sn 3.36, 9 Tl 3.39-3.58, 2 Na 3.52
Tl: 0.6166 0.3184 0.4485  8 Tl 3.28-3.58, 3 Na 3.39-3.49
Tl: 0.7696 0.3523 0.1085  1 Sn 3.22, 8 Tl 3.29-3.45, 2 Na 3.48
Tl: 0.2304 0.6477 0.8915  1 Sn 3.22, 8 Tl 3.29-3.45, 2 Na 3.48
Sn: 0.0000 0.0000 0.0000  4 Tl 3.22-3.36, 2 Sn 3.39, 4 Na 3.40
Na: 0.3415 0.0186 0.2984  2 Na 3.39, 7 Tl 3.39-3.52, 2 Sn 3.40
Na: 0.6585 0.9814 0.7016  2 Na 3.39, 7 Tl 3.39-3.52, 2 Sn 3.40

## Properties
excess energy over the best structure of this formula in the dataset: 32 meV per atom
final energy: -21.21 eV/cell
N(E_F): 0.322 states/eV per atom
formation enthalpy at 0 K: -0.37 eV per formula unit

---

Entry 5:
Entry from Alexandria: a relaxed Na2Tl4Sn crystal (PBE).

Cell: 4.6654 7.0229 13.3018 Å, 90.00 90.00 90.00°
With the nearest neighbours (Å) after each atom.
Sites, in units of the cell vectors:
Tl: 0.0000 0.4437 0.2466  1 Sn 3.30, 6 Tl 3.38-3.51, 4 Na 3.42-3.44
Tl: 0.0000 0.5563 0.7534  1 Sn 3.30, 6 Tl 3.38-3.51, 4 Na 3.42-3.44
Tl: 0.5000 0.7070 0.1191  2 Sn 3.17, 3 Na 3.20-3.54, 4 Tl 3.38-3.43
Tl: 0.0000 0.0563 0.7466  1 Sn 3.30, 6 Tl 3.38-3.51, 4 Na 3.42-3.44
Tl: 0.0000 0.9437 0.2534  1 Sn 3.30, 6 Tl 3.38-3.51, 4 Na 3.42-3.44
Tl: 0.5000 0.2930 0.8809  2 Sn 3.17, 3 Na 3.20-3.54, 4 Tl 3.38-3.43
Tl: 0.5000 0.2070 0.3809  2 Sn 3.17, 3 Na 3.20-3.54, 4 Tl 3.38-3.43
Tl: 0.5000 0.7930 0.6191  2 Sn 3.17, 3 Na 3.20-3.54, 4 Tl 3.38-3.43
Na: 0.5000 0.1903 0.1152  7 Tl 3.20-3.54, 2 Sn 3.54
Na: 0.5000 0.6903 0.3848  7 Tl 3.20-3.54, 2 Sn 3.54
Na: 0.5000 0.3097 0.6152  7 Tl 3.20-3.54, 2 Sn 3.54
Na: 0.5000 0.8097 0.8848  7 Tl 3.20-3.54, 2 Sn 3.54
Sn: 0.0000 0.0000 0.5000  6 Tl 3.17-3.30, 4 Na 3.54
Sn: 0.0000 0.5000 0.0000  6 Tl 3.17-3.30, 4 Na 3.54

## Properties
excess energy over the best structure of this formula in the dataset: 0 meV per atom
final energy: -32.85 eV/cell
N(E_F): 0.450 states/eV per atom
formation enthalpy at 0 K: -0.32 eV per formula unit

---

Entry 6:
Entry from Alexandria: a relaxed Na3Tl5Sn2 crystal (PBE).

Cell: 7.9594 8.9848 8.9848 Å, 113.93 94.50 94.50°
With the nearest neighbours (Å) after each atom.
Sites, in units of the cell vectors:
Tl: 0.4957 0.8079 0.6933  4 Na 3.31-3.43, 2 Sn 3.32-3.35, 4 Tl 3.33-3.46
Tl: 0.8722 0.0184 0.7300  4 Na 3.22-3.45, 2 Sn 3.32-3.34, 3 Tl 3.33-3.46
Tl: 0.0042 0.3067 0.1921  4 Na 3.31-3.43, 2 Sn 3.32-3.35, 4 Tl 3.33-3.46
Tl: 0.5043 0.1921 0.3067  4 Na 3.31-3.43, 2 Sn 3.32-3.35, 4 Tl 3.33-3.46
Tl: 0.1278 0.9816 0.2700  4 Na 3.22-3.45, 2 Sn 3.32-3.34, 3 Tl 3.33-3.46
Tl: 0.2500 0.4424 0.5576  4 Na 3.29-3.48, 2 Sn 3.38, 4 Tl 3.39-3.40
Tl: 0.7500 0.5576 0.4424  4 Na 3.29-3.48, 2 Sn 3.38, 4 Tl 3.39-3.40
Tl: 0.6278 0.2700 0.9816  4 Na 3.22-3.45, 2 Sn 3.32-3.34, 3 Tl 3.33-3.46
Tl: 0.3722 0.7300 0.0184  4 Na 3.22-3.45, 2 Sn 3.32-3.34, 3 Tl 3.33-3.46
Tl: 0.9958 0.6933 0.8079  4 Na 3.31-3.43, 2 Sn 3.32-3.35, 4 Tl 3.33-3.46
Na: 0.1201 0.7710 0.4864  6 Tl 3.22-3.48, 2 Sn 3.33-3.36, 1 Na 3.48
Na: 0.3799 0.5136 0.2290  6 Tl 3.22-3.48, 2 Sn 3.33-3.36, 1 Na 3.48
Na: 0.2500 0.0563 0.9437  8 Tl 3.34-3.45, 2 Sn 3.39
Na: 0.6201 0.4864 0.7710  6 Tl 3.22-3.48, 2 Sn 3.33-3.36, 1 Na 3.48
Na: 0.8799 0.2290 0.5136  6 Tl 3.22-3.48, 2 Sn 3.33-3.36, 1 Na 3.48
Na: 0.7500 0.9437 0.0563  8 Tl 3.34-3.45, 2 Sn 3.39
Sn: 0.8820 0.6249 0.1243  2 Sn 3.29-3.46, 5 Tl 3.32-3.38, 3 Na 3.33-3.39
Sn: 0.3820 0.1243 0.6249  2 Sn 3.29-3.46, 5 Tl 3.32-3.38, 3 Na 3.33-3.39
Sn: 0.6180 0.8757 0.3751  2 Sn 3.29-3.46, 5 Tl 3.32-3.38, 3 Na 3.33-3.39
Sn: 0.1180 0.3751 0.8757  2 Sn 3.29-3.46, 5 Tl 3.32-3.38, 3 Na 3.33-3.39

## Properties
excess energy over the best structure of this formula in the dataset: 0 meV per atom
final energy: -48.91 eV/cell
N(E_F): 0.355 states/eV per atom
formation enthalpy at 0 K: -0.66 eV per formula unit

---

Entry 7:
Entry from Alexandria: a relaxed Na8Tl3Sn2 crystal (PBE).

Cell: 6.4823 9.2182 8.4531 Å, 123.04 98.10 90.00°
With the nearest neighbours (Å) after each atom.
Sites, in units of the cell vectors:
Na: 0.1191 0.4032 0.8064  4 Na 3.31-3.42, 1 Sn 3.33, 2 Tl 3.41
Na: 0.4494 0.4328 0.2565  2 Sn 3.19-3.34, 2 Tl 3.37-3.39, 2 Na 3.42-3.55
Na: 0.8048 0.1937 0.3874  1 Tl 3.10, 2 Sn 3.11-3.37, 1 Na 3.31
Na: 0.1952 0.8063 0.6126  1 Tl 3.10, 2 Sn 3.11-3.37, 1 Na 3.31
Na: 0.5506 0.5672 0.7435  2 Sn 3.19-3.34, 2 Tl 3.37-3.39, 2 Na 3.42-3.55
Na: 0.8809 0.5968 0.1936  4 Na 3.31-3.42, 1 Sn 3.33, 2 Tl 3.41
Na: 0.4494 0.8237 0.2565  2 Sn 3.19-3.34, 2 Tl 3.37-3.39, 2 Na 3.42-3.55
Na: 0.5506 0.1763 0.7435  2 Sn 3.19-3.34, 2 Tl 3.37-3.39, 2 Na 3.42-3.55
Tl: 0.5000 0.0000 0.0000  6 Na 3.10-3.39, 2 Sn 3.28
Tl: 0.0000 0.1789 0.0000  3 Tl 3.30-3.64, 6 Na 3.37-3.61, 2 Sn 3.45
Tl: 0.0000 0.8211 0.0000  3 Tl 3.30-3.64, 6 Na 3.37-3.61, 2 Sn 3.45
Sn: 0.2847 0.1933 0.3867  7 Na 3.11-3.37, 3 Tl 3.28-3.45
Sn: 0.7153 0.8067 0.6133  7 Na 3.11-3.37, 3 Tl 3.28-3.45

## Properties
excess energy over the best structure of this formula in the dataset: 0 meV per atom
final energy: -26.44 eV/cell
N(E_F): 0.471 states/eV per atom
formation enthalpy at 0 K: -0.78 eV per formula unit

---

Entry 8:
Entry from Alexandria: a relaxed Na6TlSn crystal (PBE).

Cell: 8.7418 8.7463 6.1890 Å, 45.07 45.11 59.65°
With the nearest neighbours (Å) after each atom.
Sites, in units of the cell vectors:
Na: 0.4991 0.2443 0.2556  2 Na 3.02-3.17
Na: 0.0006 0.5007 0.2540  2 Na 3.03-3.16
Na: 0.9994 0.4993 0.7460  2 Na 3.03-3.16
Na: 0.2443 0.0023 0.2536  2 Na 3.03-3.17
Na: 0.5009 0.7557 0.7444  2 Na 3.02-3.17
Na: 0.7557 0.9977 0.7464  2 Na 3.03-3.17
Sn: 0.0000 0.0000 0.0000  12 Na 3.43-3.46
Tl: 0.5000 0.5000 0.5000  12 Na 3.47-3.48

## Properties
excess energy over the best structure of this formula in the dataset: 22 meV per atom
final energy: -14.95 eV/cell
N(E_F): 0.606 states/eV per atom
formation enthalpy at 0 K: -0.66 eV per formula unit

---

Entry 9:
Entry from Alexandria: a relaxed Na2TlSn10 crystal (PBE).

Cell: 8.2318 8.2838 7.9333 Å, 75.06 58.75 60.21°
With the nearest neighbours (Å) after each atom.
Sites, in units of the cell vectors:
Sn: 0.3309 0.6545 0.6837  5 Sn 3.09-3.34, 1 Tl 3.28, 2 Na 3.46
Sn: 0.7305 0.7671 0.7718  6 Sn 3.09-3.35, 2 Na 3.23
Sn: 0.6691 0.3455 0.3163  5 Sn 3.09-3.34, 1 Tl 3.28, 2 Na 3.46
Sn: 0.2695 0.2329 0.2282  6 Sn 3.09-3.35, 2 Na 3.23
Sn: 0.9854 0.3455 0.6837  5 Sn 3.09-3.34, 1 Tl 3.28, 2 Na 3.46
Sn: 0.0146 0.6545 0.3163  5 Sn 3.09-3.34, 1 Tl 3.28, 2 Na 3.46
Sn: 0.5000 0.5000 0.0000  8 Sn 3.17-3.21
Sn: 0.4977 0.2329 0.7718  6 Sn 3.09-3.35, 2 Na 3.23
Sn: 0.0000 0.5000 0.0000  8 Sn 3.17-3.21
Sn: 0.5023 0.7671 0.2282  6 Sn 3.09-3.35, 2 Na 3.23
Tl: 0.0000 0.0000 0.0000  4 Sn 3.28
Na: 0.0000 0.0000 0.5000  8 Sn 3.23-3.46
Na: 0.5000 0.0000 0.5000  8 Sn 3.23-3.46

## Properties
final energy: -44.19 eV/cell
N(E_F): 0.455 states/eV per atom
formation enthalpy at 0 K: 0.85 eV per formula unit

---

Look up the N(E_F) of the eighth one. 0.606 states/eV per atom